DFT (PBE+U) results for crystalline Mn3Co5O12 at its relaxed geometry.

Geometry as POSCAR:
```
Mn3Co5O12
1.0
-0.521 -5.418 8.847
-0.248 -6.526 -8.077
8.847 5.439 -0.213
O Co Mn
48 20 12
Direct
0.141 0.448 0.114
0.193 0.527 0.641
0.359 0.973 0.807
0.948 0.834 0.807
0.614 0.973 0.666
0.641 0.614 0.948
0.527 0.334 0.886
0.693 0.141 0.027
0.641 0.027 0.193
0.114 0.948 0.141
0.973 0.614 0.166
0.666 0.473 0.614
0.473 0.807 0.859
0.334 0.527 0.386
0.386 0.027 0.334
0.807 0.334 0.948
0.334 0.807 0.448
0.166 0.052 0.693
0.307 0.859 0.973
0.552 0.859 0.386
0.693 0.552 0.166
0.448 0.307 0.334
0.859 0.552 0.886
0.834 0.948 0.307
0.666 0.193 0.552
0.886 0.052 0.859
0.973 0.359 0.307
0.448 0.141 0.614
0.886 0.834 0.527
0.114 0.166 0.473
0.166 0.114 0.973
0.027 0.386 0.834
0.359 0.386 0.052
0.948 0.114 0.641
0.027 0.641 0.693
0.834 0.886 0.027
0.527 0.193 0.141
0.386 0.359 0.552
0.052 0.166 0.193
0.614 0.641 0.448
0.052 0.886 0.359
0.473 0.666 0.114
0.552 0.693 0.666
0.193 0.666 0.052
0.859 0.307 0.473
0.141 0.693 0.527
0.307 0.448 0.834
0.807 0.473 0.359
0.875 0.625 0.750
0.000 0.500 0.500
0.000 0.000 0.500
0.500 0.000 0.000
0.375 0.250 0.125
0.250 0.375 0.625
0.750 0.125 0.875
0.500 0.000 0.500
0.625 0.750 0.875
0.125 0.375 0.250
0.125 0.750 0.375
0.000 0.000 0.000
0.500 0.500 0.000
0.625 0.875 0.250
0.000 0.500 0.000
0.375 0.125 0.750
0.500 0.500 0.500
0.250 0.875 0.125
0.875 0.250 0.625
0.750 0.625 0.375
0.125 0.875 0.750
0.750 0.375 0.125
0.875 0.750 0.125
0.375 0.750 0.625
0.250 0.625 0.875
0.750 0.875 0.625
0.125 0.250 0.875
0.625 0.375 0.750
0.625 0.250 0.375
0.250 0.125 0.375
0.375 0.625 0.250
0.875 0.125 0.250
```

Properties
DOS(E_F), states/eV/atom: 0.363
Final energy, eV for the cell shown: -506.291
Space-group type: Ia-3d